Entry 1:
## Te2PdAu2 (PBE-GGA)

Data for crystalline Te2PdAu2 at its relaxed geometry.

The space group is P4/mbm (No. 127) and the conventional cell measures 7.5013, 7.5013 and 4.1132 Å, with angles of 90.00, 90.00 and 90.00 degrees. The distinct sites, in fractional coordinates, are Te at (0.1884, 0.3116, 0.0000), Pd at (0.0000, 0.0000, 0.0000) and Au at (0.1318, 0.6318, 0.5000).

The total energy comes out at -3.5364 eV per atom. As for the uncorrected formation energy: 0.070 eV/atom. For the density of states at the Fermi level, the calculation gives 6.321 states/eV per cell.

***

Entry 2:
## Nd2MgCu3Ge4 (PBE-GGA)

Data for crystalline Nd2MgCu3Ge4 at its relaxed geometry.

The space group is P-4m2 (No. 115) and the conventional cell measures 4.1831, 4.1831 and 10.7390 Å, with angles of 90.00, 90.00 and 90.00 degrees. The distinct sites, in fractional coordinates, are Nd at (0.0000, 0.5000, 0.2409), Mg at (0.0000, 0.0000, 0.5000), Cu at (0.0000, 0.5000, 0.8717), Cu at (0.5000, 0.5000, 0.5000), Ge at (0.0000, 0.0000, 0.0000), Ge at (0.0000, 0.5000, 0.6476) and Ge at (0.5000, 0.5000, 0.0000).

Its formation energy is -507 meV per atom. The total energy comes out at -4.6960 eV per atom. For the density of states at the Fermi level, the calculation gives 2.727 states/eV per cell.

***

| no. | theoretical density (kg/m3) |
| --- | --- |
| 1 | 10842 |
| 2 | 7016 |